A geometry-optimized Zr3CdN structure, computed with GGA-PBE.

Results
Calculated total energy (eV/cell): -77.5
Formation energy (no corrections) (eV per atom): -0.77

Cell lengths 7.213, 5.546, 5.546 Å; angles 106.13, 74.01, 74.01 degrees
Element x y z (fractional)
Zr (0.145, 0.663, 0.906)
Zr (0.384, 0.544, 0.287)
Zr (0.905, 0.282, 0.025)
Zr (0.384, 0.044, 0.787)
N (0.145, 0.413, 0.156)
Cd (0.645, 0.913, 0.156)
N (0.145, 0.913, 0.656)
Zr (0.145, 0.163, 0.406)
Cd (0.645, 0.413, 0.656)
Zr (0.905, 0.782, 0.525)

***

A geometry-optimized PmDy5Y2Er structure, computed with GGA-PBE.

Results
Calculated total energy (eV/cell): -87.7

Cell lengths 5.621, 10.273, 10.577 Å; angles 90.00, 90.00, 105.88 degrees
Element x y z (fractional)
Er (0.799, 0.598, 0.511)
Y (0.886, 0.773, 0.819)
Dy (0.479, 0.959, 0.738)
Dy (0.282, 0.565, 0.312)
Dy (0.388, 0.777, 0.022)
Y (0.114, 0.227, 0.319)
Dy (0.298, 0.597, 0.708)
Er (0.201, 0.402, 0.011)
Dy (0.981, 0.961, 0.524)
Dy (0.521, 0.041, 0.238)
Dy (0.702, 0.403, 0.208)
Pm (0.584, 0.169, 0.955)
Y (0.111, 0.221, 0.735)
Dy (0.718, 0.435, 0.812)
Dy (0.019, 0.039, 0.024)
Dy (0.612, 0.223, 0.522)
Pm (0.416, 0.831, 0.455)
Y (0.889, 0.779, 0.235)

***

A geometry-optimized AcAs2PdPt5 structure, computed with GGA-PBE.

Results
Calculated total energy (eV/cell): -52.0

Cell lengths 4.610, 4.610, 9.043 Å; angles 90.00, 90.00, 90.00 degrees
Element x y z (fractional)
As (0.500, 0.500, 0.762)
Pd (0.000, 0.000, 0.000)
Pt (0.500, 0.000, 0.845)
Pt (0.000, 0.500, 0.155)
As (0.500, 0.500, 0.238)
Ac (0.000, 0.000, 0.500)
Pt (0.500, 0.000, 0.155)
Pt (0.500, 0.500, 0.500)
Pt (0.000, 0.500, 0.845)

***

A geometry-optimized K2RbMgP structure, computed with GGA-PBE.

Results
Calculated total energy (eV/cell): -10.6

Cell lengths 6.701, 6.701, 4.989 Å; angles 90.00, 90.00, 90.00 degrees
Element x y z (fractional)
Rb (0.500, 0.500, 0.500)
Mg (0.000, 0.000, 0.500)
P (0.000, 0.000, 0.000)
K (0.500, 0.000, 0.000)
K (0.000, 0.500, 0.000)

***

A geometry-optimized Mg15Tl2Cd2 structure, computed with GGA-PBE.

Results
Calculated total energy (eV/cell): -29.2

Cell lengths 7.902, 7.902, 7.902 Å; angles 80.62, 80.62, 80.62 degrees
Element x y z (fractional)
Mg (0.841, 0.340, 0.340)
Tl (0.688, 0.688, 0.688)
Mg (0.317, 0.000, 0.683)
Mg (0.159, 0.660, 0.660)
Mg (0.683, 0.000, 0.317)
Mg (0.683, 0.317, 0.000)
Mg (0.340, 0.340, 0.841)
Mg (0.660, 0.159, 0.660)
Tl (0.312, 0.312, 0.312)
Cd (0.095, 0.095, 0.095)
Mg (0.660, 0.660, 0.159)
Mg (0.000, 0.000, 0.500)
Mg (0.317, 0.683, 0.000)
Mg (0.000, 0.683, 0.317)
Mg (0.000, 0.317, 0.683)
Mg (0.000, 0.500, 0.000)
Mg (0.500, 0.000, 0.000)
Mg (0.340, 0.841, 0.340)
Cd (0.905, 0.905, 0.905)

***

A geometry-optimized ZrCrAgS4 structure, computed with GGA-PBE.

Results
Excess energy over the best structure of this formula in the dataset (meV per atom): 92.1
Calculated total energy (eV/cell): -173.2
Formation energy (no corrections) (eV per atom): -0.82

Cell lengths 3.625, 11.387, 13.231 Å; angles 90.00, 90.00, 90.00 degrees
Element x y z (fractional)
S (0.500, 0.690, 0.389)
S (0.000, 0.877, 0.204)
Zr (0.500, 0.915, 0.338)
Zr (0.500, 0.415, 0.662)
S (0.500, 0.621, 0.735)
Ag (0.500, 0.250, 0.935)
Cr (0.000, 0.579, 0.847)
S (0.000, 0.487, 0.540)
S (0.500, 0.537, 0.964)
S (0.500, 0.907, 0.668)
Cr (0.000, 0.079, 0.153)
S (0.000, 0.787, 0.903)
S (0.000, 0.287, 0.097)
S (0.000, 0.591, 0.186)
S (0.500, 0.190, 0.611)
Ag (0.500, 0.750, 0.065)
Cr (0.000, 0.045, 0.639)
Zr (0.500, 0.442, 0.138)
S (0.500, 0.037, 0.036)
Cr (0.000, 0.545, 0.361)
S (0.000, 0.091, 0.814)
S (0.500, 0.121, 0.265)
S (0.500, 0.407, 0.332)
S (0.000, 0.987, 0.460)
Ag (0.000, 0.769, 0.527)
S (0.000, 0.377, 0.796)
Ag (0.000, 0.269, 0.473)
Zr (0.500, 0.942, 0.862)

***

A geometry-optimized TiTlTe3 structure, computed with GGA-PBE.

Results
Excess energy over the best structure of this formula in the dataset (meV per atom): 0.0
Calculated total energy (eV/cell): -86.8
Formation energy (no corrections) (eV per atom): -0.40

Cell lengths 6.774, 9.635, 9.635 Å; angles 80.95, 90.04, 90.03 degrees
Element x y z (fractional)
Te (0.120, 0.066, 0.173)
Te (0.620, 0.434, 0.326)
Te (0.380, 0.566, 0.674)
Ti (0.426, 0.193, 0.307)
Te (0.880, 0.934, 0.827)
Ti (0.574, 0.807, 0.693)
Te (0.120, 0.326, 0.434)
Te (0.713, 0.041, 0.461)
Tl (0.250, 0.671, 0.329)
Te (0.213, 0.461, 0.041)
Ti (0.926, 0.307, 0.193)
Tl (0.750, 0.829, 0.171)
Tl (0.750, 0.329, 0.671)
Te (0.880, 0.674, 0.566)
Te (0.620, 0.173, 0.066)
Ti (0.074, 0.693, 0.807)
Tl (0.250, 0.171, 0.829)
Te (0.380, 0.827, 0.934)
Te (0.787, 0.539, 0.959)
Te (0.287, 0.959, 0.539)

***

A geometry-optimized Ce2Pa2Te5 structure, computed with GGA-PBE.

Results
Calculated total energy (eV/cell): -111.5
Formation energy (no corrections) (eV per atom): -1.02

Cell lengths 8.253, 8.237, 8.985 Å; angles 117.28, 90.00, 90.00 degrees
Element x y z (fractional)
Te (0.000, 0.000, 0.000)
Pa (0.643, 0.861, 0.000)
Te (0.344, 0.978, 0.275)
Ce (0.000, 0.194, 0.389)
Te (0.656, 0.022, 0.725)
Pa (0.143, 0.639, 0.000)
Pa (0.857, 0.361, 0.000)
Te (0.344, 0.703, 0.725)
Pa (0.357, 0.139, 0.000)
Te (0.156, 0.478, 0.275)
Ce (0.500, 0.306, 0.611)
Te (0.656, 0.297, 0.275)
Ce (0.000, 0.806, 0.611)
Ce (0.500, 0.694, 0.389)
Te (0.500, 0.500, 0.000)
Te (0.844, 0.522, 0.725)
Te (0.156, 0.203, 0.725)
Te (0.844, 0.797, 0.275)